Compound: PmThNb
Source: Alexandria
Functional: PBE
Structure: optimized geometry

Values from the calculation:
ΔH_f (0 K) ... 260 meV per atom
Total energy ... -7.15 eV per atom

a b c (Å): 12.8586 5.0718 5.2084
angles (deg): 90.00 92.88 90.00
With the nearest neighbours (Å) after each atom.
Fractional coordinates of all 12 atoms:
Pm  0.0984  0.0000  0.2789  4 Nb 3.11-3.38, 2 Th 3.48
Pm  0.4016  0.5000  0.7211  4 Nb 3.11-3.38, 2 Th 3.48
Pm  0.5984  0.5000  0.2789  4 Nb 3.11-3.38, 2 Th 3.48
Pm  0.9016  0.0000  0.7211  4 Nb 3.11-3.38, 2 Th 3.48
Th  0.1083  0.5000  0.7367  3 Nb 2.84-3.14
Th  0.3917  0.0000  0.2633  3 Nb 2.84-3.14
Th  0.6083  0.0000  0.7367  3 Nb 2.84-3.14
Th  0.8917  0.5000  0.2633  3 Nb 2.84-3.14
Nb  0.2486  0.0000  0.8293  3 Th 2.84-3.14, 2 Nb 3.10, 1 Pm 3.11
Nb  0.2514  0.5000  0.1707  3 Th 2.84-3.14, 2 Nb 3.10, 1 Pm 3.11
Nb  0.7486  0.5000  0.8293  3 Th 2.84-3.14, 2 Nb 3.10, 1 Pm 3.11
Nb  0.7514  0.0000  0.1707  3 Th 2.84-3.14, 2 Nb 3.10, 1 Pm 3.11

---

Compound: Pt2BrF
Source: Alexandria
Functional: PBE
Structure: optimized geometry

Values from the calculation:
Raw formation energy ... 0.44 eV per atom
Excess energy over the best structure of this formula in the dataset ... 0.114 eV per atom
Total energy ... -3.46 eV per atom

a b c (Å): 6.3016 6.3016 6.3016
angles (deg): 90.00 90.00 90.00
With the nearest neighbours (Å) after each atom.
Fractional coordinates of all 16 atoms:
Pt  0.2500  0.2500  0.2500  4 F 2.73, 4 Br 2.73
Pt  0.2500  0.2500  0.7500  4 F 2.73, 4 Br 2.73
Pt  0.2500  0.7500  0.2500  4 F 2.73, 4 Br 2.73
Pt  0.2500  0.7500  0.7500  4 F 2.73, 4 Br 2.73
Pt  0.7500  0.2500  0.2500  4 F 2.73, 4 Br 2.73
Pt  0.7500  0.2500  0.7500  4 F 2.73, 4 Br 2.73
Pt  0.7500  0.7500  0.2500  4 F 2.73, 4 Br 2.73
Pt  0.7500  0.7500  0.7500  4 F 2.73, 4 Br 2.73
Br  0.0000  0.0000  0.0000  8 Pt 2.73
Br  0.0000  0.5000  0.5000  8 Pt 2.73
Br  0.5000  0.0000  0.5000  8 Pt 2.73
Br  0.5000  0.5000  0.0000  8 Pt 2.73
F  0.0000  0.0000  0.5000  8 Pt 2.73
F  0.0000  0.5000  0.0000  8 Pt 2.73
F  0.5000  0.0000  0.0000  8 Pt 2.73
F  0.5000  0.5000  0.5000  8 Pt 2.73

---

Compound: Be9Nb2Fe
Source: Alexandria
Functional: PBE
Structure: optimized geometry

Values from the calculation:
ΔH_f (0 K) ... -100 meV per atom
Total energy ... -5.28 eV per atom

a b c (Å): 7.4523 7.4523 7.4523
angles (deg): 35.02 35.02 35.02
With the nearest neighbours (Å) after each atom.
Fractional coordinates of all 12 atoms:
Be  0.0000  0.0000  0.0000  6 Be 2.22
Be  0.0820  0.0820  0.5792  7 Be 2.12-2.25
Be  0.0820  0.5792  0.0820  7 Be 2.12-2.25
Be  0.1655  0.1655  0.1655  6 Be 2.12-2.15
Be  0.4208  0.9180  0.9180  7 Be 2.12-2.25
Be  0.5792  0.0820  0.0820  7 Be 2.12-2.25
Be  0.8345  0.8345  0.8345  6 Be 2.12-2.15
Be  0.9180  0.4208  0.9180  7 Be 2.12-2.25
Be  0.9180  0.9180  0.4208  7 Be 2.12-2.25
Nb  0.3577  0.3577  0.3577  12 Be 2.58-2.64, 3 Nb 2.78
Nb  0.6423  0.6423  0.6423  12 Be 2.58-2.64, 3 Nb 2.78
Fe  0.5000  0.5000  0.5000  18 Be 2.59-2.81

---

Compound: AlFeSe2
Source: Alexandria
Functional: PBE
Structure: optimized geometry

Values from the calculation:
Raw formation energy ... -0.24 eV per atom
Total energy ... -5.03 eV per atom

a b c (Å): 3.3941 3.3941 6.9237
angles (deg): 90.00 90.00 90.00
With the nearest neighbours (Å) after each atom.
Fractional coordinates of all 4 atoms:
Al  0.0000  0.0000  0.0000  5 Se 2.50-2.60
Fe  0.5000  0.5000  0.2262  5 Se 2.56-2.58, 4 Al 2.87
Se  0.0000  0.0000  0.3615  1 Al 2.50, 4 Fe 2.58
Se  0.5000  0.5000  0.8563  1 Fe 2.56, 4 Al 2.60

---

Compound: BMoH2
Source: Alexandria
Functional: PBE
Structure: optimized geometry

Values from the calculation:
Excess energy over the best structure of this formula in the dataset ... 0.307 eV per atom
Total energy ... -5.34 eV per atom

a b c (Å): 4.7493 4.7493 4.7493
angles (deg): 90.00 90.00 90.00
With the nearest neighbours (Å) after each atom.
Fractional coordinates of all 16 atoms:
B  0.0000  0.0000  0.0000  8 H 2.06
B  0.0000  0.5000  0.5000  8 H 2.06
B  0.5000  0.0000  0.5000  8 H 2.06
B  0.5000  0.5000  0.0000  8 H 2.06
Mo  0.0000  0.0000  0.5000  8 H 2.06
Mo  0.0000  0.5000  0.0000  8 H 2.06
Mo  0.5000  0.0000  0.0000  8 H 2.06
Mo  0.5000  0.5000  0.5000  8 H 2.06
H  0.2500  0.2500  0.2500  4 Mo 2.06, 4 B 2.06
H  0.2500  0.2500  0.7500  4 Mo 2.06, 4 B 2.06
H  0.2500  0.7500  0.2500  4 Mo 2.06, 4 B 2.06
H  0.2500  0.7500  0.7500  4 Mo 2.06, 4 B 2.06
H  0.7500  0.2500  0.2500  4 Mo 2.06, 4 B 2.06
H  0.7500  0.2500  0.7500  4 Mo 2.06, 4 B 2.06
H  0.7500  0.7500  0.2500  4 Mo 2.06, 4 B 2.06
H  0.7500  0.7500  0.7500  4 Mo 2.06, 4 B 2.06

---

Compound: SnTe
Source: Alexandria
Functional: PBE
Structure: optimized geometry

Values from the calculation:
Raw formation energy ... -0.29 eV per atom
Total energy ... -3.86 eV per atom

a b c (Å): 4.5223 4.5223 11.1852
angles (deg): 90.00 90.00 120.00
With the nearest neighbours (Å) after each atom.
Fractional coordinates of all 6 atoms:
Sn  0.0000  0.0000  0.0000  6 Te 3.12-3.30
Sn  0.3333  0.6667  0.6667  6 Te 3.12-3.30
Sn  0.6667  0.3333  0.3333  6 Te 3.12-3.30
Te  0.0000  0.0000  0.4855  6 Sn 3.12-3.30
Te  0.3333  0.6667  0.1522  6 Sn 3.12-3.30
Te  0.6667  0.3333  0.8189  6 Sn 3.12-3.30

---

Compound: AcPrNd2Dy4
Source: Alexandria
Functional: PBE
Structure: optimized geometry

Values from the calculation:
ΔH_f (0 K) ... 411 meV per atom
Total energy ... -4.19 eV per atom

a b c (Å): 9.6938 9.6938 6.9560
angles (deg): 111.01 111.01 88.35
With the nearest neighbours (Å) after each atom.
Fractional coordinates of all 16 atoms:
Ac  0.0000  0.5000  0.0000  2 Nd 3.48, 6 Dy 3.48-3.52
Ac  0.5000  0.0000  0.5000  2 Nd 3.48, 6 Dy 3.48-3.52
Pr  0.0000  0.0000  0.0000  6 Dy 3.39-3.50, 2 Pr 3.48
Pr  0.0000  0.0000  0.5000  6 Dy 3.39-3.50, 2 Pr 3.48
Nd  0.0000  0.5000  0.5000  6 Dy 3.27-3.43, 2 Ac 3.48
Nd  0.5000  0.0000  0.0000  6 Dy 3.27-3.43, 2 Ac 3.48
Nd  0.5000  0.5000  0.0000  6 Dy 3.36-3.47, 2 Nd 3.48
Nd  0.5000  0.5000  0.5000  6 Dy 3.36-3.47, 2 Nd 3.48
Dy  0.2435  0.2591  0.5002  3 Nd 3.27-3.47, 1 Ac 3.48, 2 Dy 3.48, 2 Pr 3.49-3.50
Dy  0.2512  0.7489  0.5129  2 Dy 3.30-3.66, 3 Nd 3.36-3.43, 1 Pr 3.39, 2 Ac 3.52
Dy  0.2511  0.7488  0.9871  2 Dy 3.30-3.66, 3 Nd 3.36-3.43, 1 Pr 3.39, 2 Ac 3.52
Dy  0.2591  0.2435  0.0002  3 Nd 3.27-3.47, 1 Ac 3.48, 2 Dy 3.48, 2 Pr 3.49-3.50
Dy  0.7409  0.7565  0.9998  3 Nd 3.27-3.47, 1 Ac 3.48, 2 Dy 3.48, 2 Pr 3.49-3.50
Dy  0.7489  0.2512  0.0129  2 Dy 3.30-3.66, 3 Nd 3.36-3.43, 1 Pr 3.39, 2 Ac 3.52
Dy  0.7488  0.2511  0.4871  2 Dy 3.30-3.66, 3 Nd 3.36-3.43, 1 Pr 3.39, 2 Ac 3.52
Dy  0.7565  0.7409  0.4998  3 Nd 3.27-3.47, 1 Ac 3.48, 2 Dy 3.48, 2 Pr 3.49-3.50

---

Compound: NaSbAu6
Source: Alexandria
Functional: PBE
Structure: optimized geometry

Values from the calculation:
Raw formation energy ... -0.02 eV per atom
Total energy ... -3.16 eV per atom

a b c (Å): 5.4122 5.4122 5.4122
angles (deg): 90.00 90.00 90.00
With the nearest neighbours (Å) after each atom.
Fractional coordinates of all 8 atoms:
Na  0.0000  0.0000  0.0000  12 Au 3.02
Sb  0.5000  0.5000  0.5000  12 Au 3.03
Au  0.0000  0.2494  0.5000  2 Au 2.70-2.71
Au  0.0000  0.7506  0.5000  2 Au 2.70-2.71
Au  0.2494  0.5000  0.0000  2 Au 2.70-2.71
Au  0.5000  0.0000  0.2494  2 Au 2.70-2.71
Au  0.5000  0.0000  0.7506  2 Au 2.70-2.71
Au  0.7506  0.5000  0.0000  2 Au 2.70-2.71